No. 1
Entry from Alexandria via LeMat-Bulk: crystalline Pr3NdEr at its relaxed geometry (PBE).

Values from the calculation:
Polymorph energy (0 for the lowest one): 0.000 eV/f.u.
DOS(E_F): 1.676 states/eV/atom
DFT formation energy: 180 meV/atom
E_tot: -22.77 eV/f.u.

abc: 9.5051 9.5051 6.1504
angles: 108.62 108.62 42.60
Fractional positions:
Pr (0.0796, 0.6153, 0.5979)
Pr (0.2742, 0.2742, 0.0254)
Pr (0.3847, 0.9204, 0.4021)
Pr (0.6153, 0.0796, 0.5979)
Pr (0.7258, 0.7258, 0.9746)
Pr (0.9204, 0.3847, 0.4021)
Nd (0.5000, 0.5000, 0.0000)
Nd (0.5000, 0.5000, 0.5000)
Er (0.0509, 0.0509, 0.8003)
Er (0.9491, 0.9491, 0.1997)

=====

No. 2
Entry from Alexandria via LeMat-Bulk: crystalline PrNd5Er2 at its relaxed geometry (PBE).

Values from the calculation:
DOS(E_F): 1.372 states/eV/atom
DFT formation energy: 12 meV/atom
E_tot: -37.65 eV/f.u.

abc: 7.2775 14.5568 5.1390
angles: 90.00 90.00 90.00
Fractional positions:
Pr (0.0000, 0.0000, 0.0000)
Pr (0.5000, 0.5000, 0.0000)
Nd (0.0000, 0.5000, 0.0000)
Nd (0.0011, 0.2503, 0.0000)
Nd (0.2490, 0.6252, 0.5000)
Nd (0.2510, 0.1252, 0.5000)
Nd (0.4989, 0.7503, 0.0000)
Nd (0.5000, 0.0000, 0.0000)
Nd (0.5011, 0.2497, 0.0000)
Nd (0.7490, 0.8748, 0.5000)
Nd (0.7510, 0.3748, 0.5000)
Nd (0.9989, 0.7497, 0.0000)
Er (0.2494, 0.8747, 0.5000)
Er (0.2506, 0.3747, 0.5000)
Er (0.7494, 0.6253, 0.5000)
Er (0.7506, 0.1253, 0.5000)

=====

No. 3
Entry from Alexandria via LeMat-Bulk: crystalline Pr2NdEr at its relaxed geometry (PBE).

Values from the calculation:
Polymorph energy (0 for the lowest one): 0.011 eV/f.u.
DOS(E_F): 1.503 states/eV/atom
DFT formation energy: 17 meV/atom
E_tot: -18.82 eV/f.u.

abc: 6.3200 6.3200 6.3200
angles: 131.62 131.62 70.83
Fractional positions:
Pr (0.0000, 0.0000, 0.0000)
Pr (0.7500, 0.2500, 0.5000)
Nd (0.2500, 0.7500, 0.5000)
Er (0.5000, 0.5000, 0.0000)

=====

No. 4
Entry from Alexandria via LeMat-Bulk: crystalline Pr2Nd5Er2 at its relaxed geometry (PBE).

Values from the calculation:
Polymorph energy (0 for the lowest one): 0.000 eV/f.u.
DOS(E_F): 1.515 states/eV/atom
DFT formation energy: 16 meV/atom
E_tot: -42.38 eV/f.u.

abc: 6.3226 6.3226 10.9522
angles: 106.80 106.80 48.20
Fractional positions:
Pr (0.0014, 0.0014, 0.1691)
Pr (0.9986, 0.9986, 0.8309)
Nd (0.0000, 0.0000, 0.5000)
Nd (0.3324, 0.3324, 0.6102)
Nd (0.3322, 0.3322, 0.9448)
Nd (0.6678, 0.6678, 0.0552)
Nd (0.6676, 0.6676, 0.3898)
Er (0.3334, 0.3334, 0.2779)
Er (0.6666, 0.6666, 0.7221)

=====

No. 5
Entry from Alexandria via LeMat-Bulk: crystalline Pr2NdEr6 at its relaxed geometry (PBE).

Values from the calculation:
Polymorph energy (0 for the lowest one): 0.855 eV/f.u.
DOS(E_F): 1.316 states/eV/atom
DFT formation energy: 202 meV/atom
E_tot: -39.88 eV/f.u.

abc: 9.9934 9.9934 6.4387
angles: 106.88 106.88 89.67
Fractional positions:
Pr (0.1085, 0.1867, 0.4609)
Pr (0.1867, 0.1085, 0.9609)
Pr (0.8133, 0.8915, 0.0391)
Pr (0.8915, 0.8133, 0.5391)
Nd (0.3655, 0.6345, 0.7500)
Nd (0.6345, 0.3655, 0.2500)
Er (0.0510, 0.5379, 0.2968)
Er (0.1297, 0.7582, 0.9815)
Er (0.2418, 0.8703, 0.5185)
Er (0.3021, 0.4440, 0.0542)
Er (0.4440, 0.3021, 0.5542)
Er (0.4621, 0.9490, 0.2032)
Er (0.5379, 0.0510, 0.7968)
Er (0.5560, 0.6979, 0.4458)
Er (0.6979, 0.5560, 0.9458)
Er (0.7582, 0.1297, 0.4815)
Er (0.8703, 0.2418, 0.0185)
Er (0.9490, 0.4621, 0.7032)

=====

No. 6
Entry from Alexandria via LeMat-Bulk: crystalline Pr5Nd2Er4 at its relaxed geometry (PBE).

Values from the calculation:
DOS(E_F): 1.461 states/eV/atom
DFT formation energy: 165 meV/atom
E_tot: -49.87 eV/f.u.

abc: 12.8383 12.8383 12.8383
angles: 164.06 137.83 45.35
Fractional positions:
Pr (0.0000, 0.0000, 0.0000)
Pr (0.0562, 0.3565, 0.6997)
Pr (0.3431, 0.6435, 0.6997)
Pr (0.6569, 0.3565, 0.3003)
Pr (0.9438, 0.6435, 0.3003)
Nd (0.2684, 0.7684, 0.5000)
Nd (0.7316, 0.2316, 0.5000)
Er (0.3164, 0.5000, 0.8164)
Er (0.4041, 0.9041, 0.5000)
Er (0.5959, 0.0959, 0.5000)
Er (0.6836, 0.5000, 0.1836)

=====

No. 7
Entry from Alexandria via LeMat-Bulk: crystalline Pr3Nd2Er8 at its relaxed geometry (PBE).

Values from the calculation:
Polymorph energy (0 for the lowest one): 3.047 eV/f.u.
DOS(E_F): 1.815 states/eV/atom
DFT formation energy: 257 meV/atom
E_tot: -57.03 eV/f.u.

abc: 10.9545 10.9545 5.6157
angles: 90.06 90.06 41.17
Fractional positions:
Pr (0.0000, 0.0000, 0.0000)
Pr (0.2939, 0.7061, 0.5000)
Pr (0.7061, 0.2939, 0.5000)
Nd (0.2411, 0.2411, 0.9982)
Nd (0.7589, 0.7589, 0.0018)
Er (0.1322, 0.1322, 0.4994)
Er (0.1810, 0.6013, 0.9996)
Er (0.3343, 0.3343, 0.4987)
Er (0.3987, 0.8190, 0.0004)
Er (0.6013, 0.1810, 0.9996)
Er (0.6657, 0.6657, 0.5013)
Er (0.8190, 0.3987, 0.0004)
Er (0.8678, 0.8678, 0.5006)

=====

No. 8
Entry from Alexandria via LeMat-Bulk: crystalline Pr6NdEr5 at its relaxed geometry (PBE).

Values from the calculation:
DOS(E_F): 1.361 states/eV/atom
DFT formation energy: 18 meV/atom
E_tot: -56.05 eV/f.u.

abc: 9.5859 9.5859 9.5859
angles: 148.76 116.18 72.77
Fractional positions:
Pr (0.0818, 0.3332, 0.7486)
Pr (0.2475, 0.0000, 0.2475)
Pr (0.4154, 0.6668, 0.7486)
Pr (0.5846, 0.3332, 0.2514)
Pr (0.7525, 0.0000, 0.7525)
Pr (0.9182, 0.6668, 0.2514)
Nd (0.5000, 0.5000, 0.0000)
Er (0.0000, 0.5000, 0.5000)
Er (0.1669, 0.1669, 0.0000)
Er (0.3323, 0.8323, 0.5000)
Er (0.6677, 0.1677, 0.5000)
Er (0.8331, 0.8331, 0.0000)